Crystalline RbCo3S at its relaxed geometry. Source: the Alexandria database, functional GGA-PBE.

Its crystal system is cubic. As for the electronic total energy: -2.70 eV/atom. For the formation energy (no corrections), the calculation gives 2.579 eV/atom. The value obtained for the density of states at the Fermi level is 10.8 states/eV per cell.

```
5
Lattice="4.665 0.000 0.000 0.000 4.665 0.000 0.000 0.000 4.665" Properties=species:S:1:pos:R:3 pbc="T T T"
Rb 0.000 0.000 0.000
Co 0.000 0.000 2.332
Co 0.000 2.332 0.000
Co 2.332 0.000 0.000
S 2.332 2.332 2.332
```